Compound: RbYZn2
Source: the Alexandria database
Functional: PBE
Structure: relaxed

Computed properties:
Theoretical density: 4.50 Mg/m³
ΔH_f (0 K): 280 meV per atom
Excess energy over the best structure of this formula in the dataset: 0 meV/atom
M_tot: 0.00 μB/cell
Fermi-level density of states: 7.49 states/eV per cell

Geometry as CIF:
```
data_RbYZn2
_chemical_formula_sum 'Rb4 Y4 Zn8'
_space_group_name_H-M_alt 'F m -3 m'
_space_group_IT_number 225
_space_group_name_Hall '-F 4 2 3'
_cell_length_a 7.666
_cell_length_b 7.666
_cell_length_c 7.666
_cell_angle_alpha 90.00
_cell_angle_beta 90.00
_cell_angle_gamma 90.00
loop_
_atom_site_label
_atom_site_type_symbol
_atom_site_fract_x
_atom_site_fract_y
_atom_site_fract_z
_atom_site_occupancy
Rb1 Rb 0.000 0.000 0.000 1
Y1 Y 0.000 0.000 0.500 1
Zn1 Zn 0.250 0.250 0.250 1
```



Compound: Rb2YZr
Source: the Alexandria database
Functional: PBE
Structure: relaxed

Computed properties:
Theoretical density: 3.44 Mg/m³
ΔH_f (0 K): 1313 meV per atom
Excess energy over the best structure of this formula in the dataset: 0 meV/atom
M_tot: 0.00 μB/cell
Fermi-level density of states: 20.84 states/eV per cell

Geometry as CIF:
```
data_Rb2YZr
_chemical_formula_sum 'Rb8 Y4 Zr4'
_space_group_name_H-M_alt 'I -4 2 d'
_space_group_IT_number 122
_space_group_name_Hall 'I -4 2bw'
_cell_length_a 10.342
_cell_length_b 10.342
_cell_length_c 6.345
_cell_angle_alpha 90.00
_cell_angle_beta 90.00
_cell_angle_gamma 90.00
loop_
_atom_site_label
_atom_site_type_symbol
_atom_site_fract_x
_atom_site_fract_y
_atom_site_fract_z
_atom_site_occupancy
Rb1 Rb 0.232 0.250 0.125 1
Y1 Y 0.000 0.000 0.500 1
Zr1 Zr 0.000 0.000 0.000 1
```



Compound: RbYZr
Source: the Alexandria database
Functional: PBE
Structure: relaxed

Computed properties:
Theoretical density: 3.02 Mg/m³
ΔH_f (0 K): 578 meV per atom
Excess energy over the best structure of this formula in the dataset: 275 meV/atom
M_tot: 3.78 μB/cell
Fermi-level density of states: 25.14 states/eV per cell

Geometry as CIF:
```
data_RbYZr
_chemical_formula_sum 'Rb6 Y6 Zr6'
_space_group_name_H-M_alt 'R -3 m'
_space_group_IT_number 166
_space_group_name_Hall '-R 3 2"'
_cell_length_a 5.4002
_cell_length_b 5.4002
_cell_length_c 34.7132
_cell_angle_alpha 90.00
_cell_angle_beta 90.00
_cell_angle_gamma 120.00
loop_
_atom_site_label
_atom_site_type_symbol
_atom_site_fract_x
_atom_site_fract_y
_atom_site_fract_z
_atom_site_occupancy
Rb1 Rb 0.0000 0.0000 0.2186 1
Y1 Y 0.0000 0.0000 0.3360 1
Zr1 Zr 0.0000 0.0000 0.0390 1
```



Compound: RbYZr
Source: the Alexandria database
Functional: PBE
Structure: relaxed

Computed properties:
Theoretical density: 3.45 Mg/m³
ΔH_f (0 K): 962 meV per atom
Excess energy over the best structure of this formula in the dataset: 659 meV/atom
M_tot: 3.89 μB/cell
Fermi-level density of states: 8.97 states/eV per cell

Geometry as CIF:
```
data_RbYZr
_chemical_formula_sum 'Rb2 Y2 Zr2'
_space_group_name_H-M_alt 'P 4/n m m'
_space_group_IT_number 129
_cell_length_a 4.704
_cell_length_b 4.704
_cell_length_c 11.548
_cell_angle_alpha 90.00
_cell_angle_beta 90.00
_cell_angle_gamma 90.00
loop_
_space_group_symop_operation_xyz
'x,y,z'
'-x,-y,-z'
'-y+1/2,x,z'
'y+1/2,-x,-z'
'-x+1/2,-y+1/2,z'
'x+1/2,y+1/2,-z'
'y,-x+1/2,z'
'-y,x+1/2,-z'
'x+1/2,-y,-z'
'-x+1/2,y,z'
'-y,-x,-z'
'y,x,z'
'-x,y+1/2,-z'
'x,-y+1/2,z'
'y+1/2,x+1/2,-z'
'-y+1/2,-x+1/2,z'
loop_
_atom_site_label
_atom_site_type_symbol
_atom_site_fract_x
_atom_site_fract_y
_atom_site_fract_z
_atom_site_occupancy
Rb1 Rb 0.250 0.250 0.136 1
Y1 Y 0.250 0.750 0.500 1
Zr1 Zr 0.250 0.250 0.696 1
```



Compound: RbYZr3
Source: the Alexandria database
Functional: PBE
Structure: relaxed

Computed properties:
Theoretical density: 4.41 Mg/m³
ΔH_f (0 K): 1469 meV per atom
Excess energy over the best structure of this formula in the dataset: 0 meV/atom
M_tot: 1.02 μB/cell
Fermi-level density of states: 10.88 states/eV per cell

Geometry as CIF:
```
data_RbYZr3
_chemical_formula_sum 'Rb1 Y1 Zr3'
_space_group_name_H-M_alt 'P m -3 m'
_space_group_IT_number 221
_space_group_name_Hall '-P 4 2 3'
_cell_length_a 5.526
_cell_length_b 5.526
_cell_length_c 5.526
_cell_angle_alpha 90.00
_cell_angle_beta 90.00
_cell_angle_gamma 90.00
loop_
_atom_site_label
_atom_site_type_symbol
_atom_site_fract_x
_atom_site_fract_y
_atom_site_fract_z
_atom_site_occupancy
Rb1 Rb 0.000 0.000 0.000 1
Y1 Y 0.500 0.500 0.500 1
Zr1 Zr 0.000 0.500 0.500 1
```



Compound: RbYZr
Source: the Alexandria database
Functional: PBE
Structure: relaxed

Computed properties:
Theoretical density: 3.37 Mg/m³
ΔH_f (0 K): 382 meV per atom
Excess energy over the best structure of this formula in the dataset: 79 meV/atom
M_tot: 0.00 μB/cell
Fermi-level density of states: 9.48 states/eV per cell

Geometry as CIF:
```
data_RbYZr
_chemical_formula_sum 'Rb2 Y2 Zr2'
_space_group_name_H-M_alt 'P -1'
_space_group_IT_number 2
_space_group_name_Hall '-P 1'
_cell_length_a 3.523
_cell_length_b 5.515
_cell_length_c 13.489
_cell_angle_alpha 93.56
_cell_angle_beta 90.29
_cell_angle_gamma 90.23
loop_
_atom_site_label
_atom_site_type_symbol
_atom_site_fract_x
_atom_site_fract_y
_atom_site_fract_z
_atom_site_occupancy
Rb1 Rb 0.231 0.230 0.354 1
Y1 Y 0.489 0.316 0.885 1
Zr1 Zr 0.009 0.811 0.922 1
```



Compound: RbYZr
Source: the Alexandria database
Functional: PBE
Structure: relaxed

Computed properties:
Theoretical density: 4.23 Mg/m³
ΔH_f (0 K): 1025 meV per atom
Excess energy over the best structure of this formula in the dataset: 722 meV/atom
M_tot: 1.19 μB/cell
Fermi-level density of states: 5.24 states/eV per cell

Geometry as CIF:
```
data_RbYZr
_chemical_formula_sum 'Rb1 Y1 Zr1'
_space_group_name_H-M_alt 'P -6 m 2'
_space_group_IT_number 187
_space_group_name_Hall 'P -6 2'
_cell_length_a 6.1326
_cell_length_b 6.1326
_cell_length_c 3.2031
_cell_angle_alpha 90.00
_cell_angle_beta 90.00
_cell_angle_gamma 120.00
loop_
_atom_site_label
_atom_site_type_symbol
_atom_site_fract_x
_atom_site_fract_y
_atom_site_fract_z
_atom_site_occupancy
Rb1 Rb 0.0000 0.0000 0.0000 1
Y1 Y 0.3333 0.6667 0.5000 1
Zr1 Zr 0.6667 0.3333 0.5000 1
```



Compound: RbYZr
Source: the Alexandria database
Functional: PBE
Structure: relaxed

Computed properties:
Theoretical density: 4.07 Mg/m³
ΔH_f (0 K): 800 meV per atom
Excess energy over the best structure of this formula in the dataset: 496 meV/atom
M_tot: 0.00 μB/cell
Fermi-level density of states: 10.02 states/eV per cell

Geometry as CIF:
```
data_RbYZr
_chemical_formula_sum 'Rb4 Y4 Zr4'
_space_group_name_H-M_alt 'P n m a'
_space_group_IT_number 62
_space_group_name_Hall '-P 2ac 2n'
_cell_length_a 5.156
_cell_length_b 6.726
_cell_length_c 12.490
_cell_angle_alpha 90.00
_cell_angle_beta 90.00
_cell_angle_gamma 90.00
loop_
_atom_site_label
_atom_site_type_symbol
_atom_site_fract_x
_atom_site_fract_y
_atom_site_fract_z
_atom_site_occupancy
Rb1 Rb 0.249 0.250 0.164 1
Y1 Y 0.249 0.250 0.541 1
Zr1 Zr 0.249 0.250 0.796 1
```



Compound: RbYZr
Source: the Alexandria database
Functional: PBE
Structure: relaxed

Computed properties:
Theoretical density: 3.12 Mg/m³
ΔH_f (0 K): 331 meV per atom
Excess energy over the best structure of this formula in the dataset: 27 meV/atom
M_tot: 0.00 μB/cell
Fermi-level density of states: 9.67 states/eV per cell

Geometry as CIF:
```
data_RbYZr
_chemical_formula_sum 'Rb2 Y2 Zr2'
_space_group_name_H-M_alt 'P 1'
_space_group_IT_number 1
_space_group_name_Hall 'P 1'
_cell_length_a 4.931
_cell_length_b 4.934
_cell_length_c 13.678
_cell_angle_alpha 99.96
_cell_angle_beta 90.29
_cell_angle_gamma 119.96
loop_
_atom_site_label
_atom_site_type_symbol
_atom_site_fract_x
_atom_site_fract_y
_atom_site_fract_z
_atom_site_occupancy
Rb1 Rb 0.000 0.000 0.000 1
Rb2 Rb 0.237 0.453 0.702 1
Y1 Y 0.410 0.812 0.226 1
Y2 Y 0.494 0.973 0.475 1
Zr1 Zr 0.118 0.226 0.351 1
Zr2 Zr 0.785 0.559 0.351 1
```



Compound: RbYZr
Source: the Alexandria database
Functional: PBE
Structure: relaxed

Computed properties:
Theoretical density: 3.02 Mg/m³
ΔH_f (0 K): 579 meV per atom
Excess energy over the best structure of this formula in the dataset: 275 meV/atom
M_tot: 1.95 μB/cell
Fermi-level density of states: 8.34 states/eV per cell

Geometry as CIF:
```
data_RbYZr
_chemical_formula_sum 'Rb2 Y2 Zr2'
_space_group_name_H-M_alt 'P -3 m 1'
_space_group_IT_number 164
_space_group_name_Hall '-P 3 2"'
_cell_length_a 5.4006
_cell_length_b 5.4006
_cell_length_c 11.5803
_cell_angle_alpha 90.00
_cell_angle_beta 90.00
_cell_angle_gamma 120.00
loop_
_atom_site_label
_atom_site_type_symbol
_atom_site_fract_x
_atom_site_fract_y
_atom_site_fract_z
_atom_site_occupancy
Rb1 Rb 0.3333 0.6667 0.1559 1
Y1 Y 0.3333 0.6667 0.5081 1
Zr1 Zr 0.0000 0.0000 0.3830 1
```



Compound: Rb2YZr
Source: the Alexandria database
Functional: PBE
Structure: relaxed

Computed properties:
Theoretical density: 3.57 Mg/m³
ΔH_f (0 K): 1359 meV per atom
Excess energy over the best structure of this formula in the dataset: 46 meV/atom
M_tot: 3.43 μB/cell
Fermi-level density of states: 19.19 states/eV per cell

Geometry as CIF:
```
data_Rb2YZr
_chemical_formula_sum 'Rb8 Y4 Zr4'
_space_group_name_H-M_alt 'F m -3 m'
_space_group_IT_number 225
_space_group_name_Hall '-F 4 2 3'
_cell_length_a 8.675
_cell_length_b 8.675
_cell_length_c 8.675
_cell_angle_alpha 90.00
_cell_angle_beta 90.00
_cell_angle_gamma 90.00
loop_
_atom_site_label
_atom_site_type_symbol
_atom_site_fract_x
_atom_site_fract_y
_atom_site_fract_z
_atom_site_occupancy
Rb1 Rb 0.250 0.250 0.250 1
Y1 Y 0.000 0.000 0.000 1
Zr1 Zr 0.000 0.000 0.500 1
```



Compound: RbYZr
Source: the Alexandria database
Functional: PBE
Structure: relaxed

Computed properties:
Theoretical density: 3.19 Mg/m³
ΔH_f (0 K): 303 meV per atom
Excess energy over the best structure of this formula in the dataset: 0 meV/atom
M_tot: 0.00 μB/cell
Fermi-level density of states: 5.69 states/eV per cell

Geometry as CIF:
```
data_RbYZr
_chemical_formula_sum 'Rb4 Y4 Zr4'
_space_group_name_H-M_alt 'C m c m'
_space_group_IT_number 63
_space_group_name_Hall '-C 2c 2'
_cell_length_a 4.614
_cell_length_b 26.917
_cell_length_c 4.450
_cell_angle_alpha 90.00
_cell_angle_beta 90.00
_cell_angle_gamma 90.00
loop_
_atom_site_label
_atom_site_type_symbol
_atom_site_fract_x
_atom_site_fract_y
_atom_site_fract_z
_atom_site_occupancy
Rb1 Rb 0.000 0.175 0.250 1
Y1 Y 0.000 0.447 0.250 1
Zr1 Zr 0.000 0.034 0.250 1
```